Entry 1:
# SiMo3 PBEsol optimized geometry
# Energy relative to the lowest polymorph listed for this composition, meV/atom: 446.8
# DOS(E_F), states/eV per cell: 3.6
data_SiMo3
_chemical_formula_sum 'Si1 Mo3'
_symmetry_space_group_name_H-M 'P -6 m 2'
_symmetry_Int_Tables_number 187
_symmetry_space_group_name_Hall 'P -6 2'
_cell_length_a 2.9119
_cell_length_b 2.9119
_cell_length_c 8.1044
_cell_angle_alpha 90.00
_cell_angle_beta 90.00
_cell_angle_gamma 120.00
loop_
_atom_site_label
_atom_site_fract_x
_atom_site_fract_y
_atom_site_fract_z
Si1 0.0000 0.0000 0.0000
Mo1 0.0000 0.0000 0.5000
Mo2 0.6667 0.3333 0.2380


Entry 2:
# SiMo4 PBEsol optimized geometry
# DOS(E_F), states/eV per cell: 3.0
data_SiMo4
_chemical_formula_sum 'Si2 Mo8'
_symmetry_space_group_name_H-M 'I 4/m'
_symmetry_Int_Tables_number 87
_symmetry_space_group_name_Hall '-I 4'
_cell_length_a 6.806
_cell_length_b 6.806
_cell_length_c 3.157
_cell_angle_alpha 90.00
_cell_angle_beta 90.00
_cell_angle_gamma 90.00
loop_
_atom_site_label
_atom_site_fract_x
_atom_site_fract_y
_atom_site_fract_z
Si1 0.000 0.000 0.000
Mo1 0.105 0.301 0.500


Entry 3:
# SiMo PBEsol optimized geometry
# DOS(E_F), states/eV per cell: 3.2
data_SiMo
_chemical_formula_sum 'Si2 Mo2'
_symmetry_space_group_name_H-M 'P 4/n m m'
_symmetry_Int_Tables_number 129
_cell_length_a 2.649
_cell_length_b 2.649
_cell_length_c 8.247
_cell_angle_alpha 90.00
_cell_angle_beta 90.00
_cell_angle_gamma 90.00
loop_
_symmetry_equiv_pos_as_xyz
'x,y,z'
'-x,-y,-z'
'-y+1/2,x,z'
'y+1/2,-x,-z'
'-x+1/2,-y+1/2,z'
'x+1/2,y+1/2,-z'
'y,-x+1/2,z'
'-y,x+1/2,-z'
'x+1/2,-y,-z'
'-x+1/2,y,z'
'-y,-x,-z'
'y,x,z'
'-x,y+1/2,-z'
'x,-y+1/2,z'
'y+1/2,x+1/2,-z'
'-y+1/2,-x+1/2,z'
loop_
_atom_site_label
_atom_site_fract_x
_atom_site_fract_y
_atom_site_fract_z
Si1 0.250 0.250 0.129
Mo1 0.250 0.250 0.635


Entry 4:
# SiSn3Mo PBEsol optimized geometry
# DOS(E_F), states/eV per cell: 3.5
data_SiSn3Mo
_chemical_formula_sum 'Si1 Sn3 Mo1'
_symmetry_space_group_name_H-M 'P m -3 m'
_symmetry_Int_Tables_number 221
_symmetry_space_group_name_Hall '-P 4 2 3'
_cell_length_a 5.066
_cell_length_b 5.066
_cell_length_c 5.066
_cell_angle_alpha 90.00
_cell_angle_beta 90.00
_cell_angle_gamma 90.00
loop_
_atom_site_label
_atom_site_fract_x
_atom_site_fract_y
_atom_site_fract_z
Si1 0.000 0.000 0.000
Sn1 0.000 0.000 0.500
Mo1 0.500 0.500 0.500


Entry 5:
# Sr2SiMo PBEsol optimized geometry
# DOS(E_F), states/eV per cell: 3.8
data_Sr2SiMo
_chemical_formula_sum 'Sr2 Si1 Mo1'
_symmetry_space_group_name_H-M 'P 4/m m m'
_symmetry_Int_Tables_number 123
_symmetry_space_group_name_Hall '-P 4 2'
_cell_length_a 4.007
_cell_length_b 4.007
_cell_length_c 6.255
_cell_angle_alpha 90.00
_cell_angle_beta 90.00
_cell_angle_gamma 90.00
loop_
_atom_site_label
_atom_site_fract_x
_atom_site_fract_y
_atom_site_fract_z
Sr1 0.000 0.000 0.242
Si1 0.500 0.500 0.000
Mo1 0.500 0.500 0.500


Entry 6:
# SrSi2Mo PBEsol optimized geometry
# Energy relative to the lowest polymorph listed for this composition, meV/atom: 266.1
# DOS(E_F), states/eV per cell: 4.5
data_SrSi2Mo
_chemical_formula_sum 'Sr1 Si2 Mo1'
_symmetry_space_group_name_H-M 'P 4/m m m'
_symmetry_Int_Tables_number 123
_symmetry_space_group_name_Hall '-P 4 2'
_cell_length_a 4.449
_cell_length_b 4.449
_cell_length_c 3.730
_cell_angle_alpha 90.00
_cell_angle_beta 90.00
_cell_angle_gamma 90.00
loop_
_atom_site_label
_atom_site_fract_x
_atom_site_fract_y
_atom_site_fract_z
Sr1 0.000 0.000 0.000
Si1 0.000 0.500 0.500
Mo1 0.500 0.500 0.000


Entry 7:
# Sr2SiMo PBEsol optimized geometry
# DOS(E_F), states/eV per cell: 11.2
data_Sr2SiMo
_chemical_formula_sum 'Sr6 Si3 Mo3'
_symmetry_space_group_name_H-M 'R -3 m'
_symmetry_Int_Tables_number 166
_symmetry_space_group_name_Hall '-R 3 2"'
_cell_length_a 3.3102
_cell_length_b 3.3102
_cell_length_c 30.8651
_cell_angle_alpha 90.00
_cell_angle_beta 90.00
_cell_angle_gamma 120.00
loop_
_atom_site_label
_atom_site_fract_x
_atom_site_fract_y
_atom_site_fract_z
Sr1 0.0000 0.0000 0.2484
Si1 0.0000 0.0000 0.5000
Mo1 0.0000 0.0000 0.0000


Entry 8:
# Sr2SiMo PBEsol optimized geometry
# DOS(E_F), states/eV per cell: 18.9
data_Sr2SiMo
_chemical_formula_sum 'Sr8 Si4 Mo4'
_symmetry_space_group_name_H-M 'I -4 2 d'
_symmetry_Int_Tables_number 122
_symmetry_space_group_name_Hall 'I -4 2bw'
_cell_length_a 11.214
_cell_length_b 11.214
_cell_length_c 4.739
_cell_angle_alpha 90.00
_cell_angle_beta 90.00
_cell_angle_gamma 90.00
loop_
_atom_site_label
_atom_site_fract_x
_atom_site_fract_y
_atom_site_fract_z
Sr1 0.086 0.750 0.125
Si1 0.000 0.000 0.000
Mo1 0.000 0.000 0.500


Entry 9:
# SrSi2Mo PBEsol optimized geometry
# Energy relative to the lowest polymorph listed for this composition, meV/atom: 126.8
# DOS(E_F), states/eV per cell: 4.5
data_SrSi2Mo
_chemical_formula_sum 'Sr2 Si4 Mo2'
_symmetry_space_group_name_H-M 'C 1 2/m 1'
_symmetry_Int_Tables_number 12
_cell_length_a 6.283
_cell_length_b 8.101
_cell_length_c 2.848
_cell_angle_alpha 90.00
_cell_angle_beta 100.78
_cell_angle_gamma 90.00
loop_
_symmetry_equiv_pos_as_xyz
'x,y,z'
'-x,-y,-z'
'-x,y,-z'
'x,-y,z'
'x+1/2,y+1/2,z'
'-x+1/2,-y+1/2,-z'
'-x+1/2,y+1/2,-z'
'x+1/2,-y+1/2,z'
loop_
_atom_site_label
_atom_site_fract_x
_atom_site_fract_y
_atom_site_fract_z
Sr1 0.000 0.000 0.000
Si1 0.250 0.250 0.500
Mo1 0.000 0.500 0.000


Entry 10:
# SrSi2Mo PBEsol optimized geometry
# Energy relative to the lowest polymorph listed for this composition, meV/atom: 0.0
# DOS(E_F), states/eV per cell: 6.3
data_SrSi2Mo
_chemical_formula_sum 'Sr2 Si4 Mo2'
_symmetry_space_group_name_H-M 'I m m m'
_symmetry_Int_Tables_number 71
_symmetry_space_group_name_Hall '-I 2 2'
_cell_length_a 3.608
_cell_length_b 5.350
_cell_length_c 8.211
_cell_angle_alpha 90.00
_cell_angle_beta 90.00
_cell_angle_gamma 90.00
loop_
_atom_site_label
_atom_site_fract_x
_atom_site_fract_y
_atom_site_fract_z
Sr1 0.000 0.000 0.000
Si1 0.000 0.500 0.213
Mo1 0.000 0.000 0.500


Entry 11:
# SrSi2Mo PBEsol optimized geometry
# Energy relative to the lowest polymorph listed for this composition, meV/atom: 291.9
# DOS(E_F), states/eV per cell: 7.5
data_SrSi2Mo
_chemical_formula_sum 'Sr2 Si4 Mo2'
_symmetry_space_group_name_H-M 'I -4 m 2'
_symmetry_Int_Tables_number 119
_symmetry_space_group_name_Hall 'I -4 -2'
_cell_length_a 4.025
_cell_length_b 4.025
_cell_length_c 9.160
_cell_angle_alpha 90.00
_cell_angle_beta 90.00
_cell_angle_gamma 90.00
loop_
_atom_site_label
_atom_site_fract_x
_atom_site_fract_y
_atom_site_fract_z
Sr1 0.000 0.000 0.000
Si1 0.000 0.000 0.500
Si2 0.000 0.500 0.750
Mo1 0.000 0.500 0.250


Entry 12:
# SrSi3Mo PBEsol optimized geometry
# DOS(E_F), states/eV per cell: 2.1
data_SrSi3Mo
_chemical_formula_sum 'Sr1 Si3 Mo1'
_symmetry_space_group_name_H-M 'P m -3 m'
_symmetry_Int_Tables_number 221
_symmetry_space_group_name_Hall '-P 4 2 3'
_cell_length_a 4.739
_cell_length_b 4.739
_cell_length_c 4.739
_cell_angle_alpha 90.00
_cell_angle_beta 90.00
_cell_angle_gamma 90.00
loop_
_atom_site_label
_atom_site_fract_x
_atom_site_fract_y
_atom_site_fract_z
Sr1 0.000 0.000 0.000
Si1 0.000 0.500 0.500
Mo1 0.500 0.500 0.500


Entry 13:
# TaSi3Mo PBEsol optimized geometry
# DOS(E_F), states/eV per cell: 4.2
data_TaSi3Mo
_chemical_formula_sum 'Ta1 Si3 Mo1'
_symmetry_space_group_name_H-M 'P m -3 m'
_symmetry_Int_Tables_number 221
_symmetry_space_group_name_Hall '-P 4 2 3'
_cell_length_a 4.744
_cell_length_b 4.744
_cell_length_c 4.744
_cell_angle_alpha 90.00
_cell_angle_beta 90.00
_cell_angle_gamma 90.00
loop_
_atom_site_label
_atom_site_fract_x
_atom_site_fract_y
_atom_site_fract_z
Ta1 0.000 0.000 0.000
Si1 0.000 0.000 0.500
Mo1 0.500 0.500 0.500


Entry 14:
# TaSiMo2 PBEsol optimized geometry
# DOS(E_F), states/eV per cell: 3.8
data_TaSiMo2
_chemical_formula_sum 'Ta2 Si2 Mo4'
_symmetry_space_group_name_H-M 'C m m 2'
_symmetry_Int_Tables_number 35
_cell_length_a 3.256
_cell_length_b 4.501
_cell_length_c 8.339
_cell_angle_alpha 90.00
_cell_angle_beta 90.00
_cell_angle_gamma 90.00
loop_
_symmetry_equiv_pos_as_xyz
'x,y,z'
'-x,-y,z'
'-x,y,z'
'x,-y,z'
'x+1/2,y+1/2,z'
'-x+1/2,-y+1/2,z'
'-x+1/2,y+1/2,z'
'x+1/2,-y+1/2,z'
loop_
_atom_site_label
_atom_site_fract_x
_atom_site_fract_y
_atom_site_fract_z
Ta1 0.000 0.000 0.000
Si1 0.000 0.500 0.243
Mo1 0.000 0.000 0.475
Mo2 0.000 0.500 0.732


Number 1: formation energy from raw total energies 76 meV/atom, VASP energy -40.746 eV/f.u.. Number 2: formation energy from raw total energies -185 meV/atom, VASP energy -53.741 eV/f.u.. Number 3: formation energy from raw total energies 176 meV/atom, VASP energy -17.162 eV/f.u.. Number 4: formation energy from raw total energies 1219 meV/atom, VASP energy -24.196 eV/f.u.. Number 5: formation energy from raw total energies 760 meV/atom, VASP energy -18.153 eV/f.u.. Number 6: formation energy from raw total energies 569 meV/atom, VASP energy -22.826 eV/f.u.. Number 7: formation energy from raw total energies 906 meV/atom, VASP energy -17.572 eV/f.u.. Number 8: formation energy from raw total energies 656 meV/atom, VASP energy -18.572 eV/f.u.. Number 9: formation energy from raw total energies 430 meV/atom, VASP energy -23.383 eV/f.u.. Number 10: formation energy from raw total energies 303 meV/atom, VASP energy -23.890 eV/f.u.. Number 11: formation energy from raw total energies 595 meV/atom, VASP energy -22.723 eV/f.u.. Number 12: formation energy from raw total energies -47 meV/atom, VASP energy -31.082 eV/f.u.. Number 13: formation energy from raw total energies 1364 meV/atom, VASP energy -34.739 eV/f.u.. Number 14: formation energy from raw total energies -140 meV/atom, VASP energy -42.393 eV/f.u..